# LaBePdAu2 | the Alexandria database | PBE | optimized geometry
data_LaBePdAu2
_chemical_formula_sum 'La1 Be1 Pd1 Au2'
_cell_length_a 4.601
_cell_length_b 4.601
_cell_length_c 4.626
_cell_angle_alpha 90.00
_cell_angle_beta 90.00
_cell_angle_gamma 90.00
_symmetry_space_group_name_H-M 'P 1'
_symmetry_Int_Tables_number 1
loop_
_symmetry_equiv_pos_as_xyz
'x,y,z'
loop_
_atom_site_label
_atom_site_fract_x
_atom_site_fract_y
_atom_site_fract_z
Au1 0.000 0.500 0.000
Au2 0.500 0.000 0.000
Pd1 0.000 0.000 0.500
Be1 0.000 0.000 0.000
La1 0.500 0.500 0.500
# space group = No. 123
# DOS at the Fermi energy = 2.15 states/eV/cell
# formation energy = -0.548 eV/atom
# uncorrected energy = -4.628 eV/atom